Entry 1:
Density functional theory data (PBE-GGA) for a geometry-optimized Ce3AlSi6Ni2 structure.

Cell: 5.7312 5.7312 8.0564 Å, 90.00 90.00 120.00°
Space group P-3m1 (No. 164)
Inequivalent atoms, fractional coordinates:
1 Ce 0.0000 0.0000 0.0000 [1 per cell]
2 Ce 0.3333 0.6667 0.6225 [2 per cell]
3 Al 0.0000 0.0000 0.5000 [1 per cell]
4 Si 0.1914 0.3828 0.2820 [6 per cell]
5 Ni 0.3333 0.6667 0.0529 [2 per cell]

- crystal system = trigonal


Entry 2:
Density functional theory data (PBE-GGA) for a geometry-optimized InP2WCl structure.

Cell: 4.703 4.703 5.176 Å, 90.00 90.00 90.00°
Space group P4/mmm (No. 123)
Inequivalent atoms, fractional coordinates:
1 In 0.000 0.000 0.000 [1 per cell]
2 P 0.000 0.500 0.500 [2 per cell]
3 W 0.500 0.500 0.500 [1 per cell]
4 Cl 0.500 0.500 0.000 [1 per cell]

- distance to the lowest polymorph of the same formula (meV/atom) = 0
- crystal system = tetragonal


Entry 3:
Density functional theory data (PBE-GGA) for a geometry-optimized GaCuTe2 structure.

Cell: 4.055 4.055 5.626 Å, 90.00 90.00 90.00°
Space group P4/mmm (No. 123)
Inequivalent atoms, fractional coordinates:
1 Ga 0.000 0.000 0.000 [1 per cell]
2 Cu 0.500 0.500 0.500 [1 per cell]
3 Te 0.000 0.000 0.500 [1 per cell]
4 Te 0.500 0.500 0.000 [1 per cell]

- crystal system = tetragonal


Values for final energy, eV per cell, ordered as above
-69.249 -27.552 -13.687
Values for formation energy without anion corrections, eV per atom, ordered as above
-0.30 0.16 -0.07